#one
The following is a DFT calculation (SCAN) of Cd at its PBEsol-relaxed geometry.

Cell lengths 3.0029, 3.0029, 3.0029 Å; angles 64.26, 64.26, 64.26 degrees
Sites, in units of the cell vectors:
Cd (0.0000, 0.0000, 0.0000)

=====

#two
The following is a DFT calculation (SCAN) of Cd at its PBEsol-relaxed geometry.

Cell lengths 4.9823, 4.9823, 2.9817 Å; angles 90.00, 90.00, 120.00 degrees
Sites, in units of the cell vectors:
Cd (0.0000, 0.0000, 0.0000)
Cd (0.3333, 0.6667, 0.5000)
Cd (0.6667, 0.3333, 0.5000)

=====

Last place for stability: #two